## SrFe3Pd (GGA-PBE)

Data for crystalline SrFe3Pd at its relaxed geometry.

Results
- E above lowest polymorph: 1455 meV/atom
- Crystal system: cubic
- Total energy: -0.311 Ry/atom
- Total moment: 7.75 μB per formula unit

Structure (CIF):
```
data_SrFe3Pd
_chemical_formula_sum 'Sr1 Fe3 Pd1'
_cell_length_a 4.638
_cell_length_b 4.638
_cell_length_c 4.638
_cell_angle_alpha 90.00
_cell_angle_beta 90.00
_cell_angle_gamma 90.00
_space_group_name_H-M_alt 'P m -3 m'
_space_group_IT_number 221
_space_group_name_Hall '-P 4 2 3'
loop_
_atom_site_label
_atom_site_fract_x
_atom_site_fract_y
_atom_site_fract_z
Sr1 0.000 0.000 0.000
Fe1 0.000 0.000 0.500
Pd1 0.500 0.500 0.500
```

---

## SrFePd3 (GGA-PBE)

Data for crystalline SrFePd3 at its relaxed geometry.

Results
- E above lowest polymorph: 0 meV/atom
- Crystal system: cubic
- Total energy: -0.377 Ry/atom
- Total moment: 3.77 μB per formula unit

Structure (CIF):
```
data_SrFePd3
_chemical_formula_sum 'Sr1 Fe1 Pd3'
_cell_length_a 4.759
_cell_length_b 4.759
_cell_length_c 4.759
_cell_angle_alpha 90.00
_cell_angle_beta 90.00
_cell_angle_gamma 90.00
_space_group_name_H-M_alt 'P m -3 m'
_space_group_IT_number 221
_space_group_name_Hall '-P 4 2 3'
loop_
_atom_site_label
_atom_site_fract_x
_atom_site_fract_y
_atom_site_fract_z
Sr1 0.000 0.000 0.000
Fe1 0.500 0.500 0.500
Pd1 0.000 0.500 0.500
```

---

## SrTaFePd2 (GGA-PBE)

Data for crystalline SrTaFePd2 at its relaxed geometry.

Results
- Crystal system: tetragonal
- Total energy: -0.294 Ry/atom
- Total moment: 0.05 μB per formula unit

Structure (CIF):
```
data_SrTaFePd2
_chemical_formula_sum 'Sr1 Ta1 Fe1 Pd2'
_cell_length_a 4.850
_cell_length_b 4.850
_cell_length_c 5.306
_cell_angle_alpha 90.00
_cell_angle_beta 90.00
_cell_angle_gamma 90.00
_space_group_name_H-M_alt 'P 4/m m m'
_space_group_IT_number 123
_space_group_name_Hall '-P 4 2'
loop_
_atom_site_label
_atom_site_fract_x
_atom_site_fract_y
_atom_site_fract_z
Sr1 0.000 0.000 0.000
Ta1 0.000 0.000 0.500
Fe1 0.500 0.500 0.500
Pd1 0.000 0.500 0.000
```

---

## SrTl2FePd (GGA-PBE)

Data for crystalline SrTl2FePd at its relaxed geometry.

Results
- Crystal system: tetragonal
- Total energy: -0.266 Ry/atom
- Total moment: 1.72 μB per formula unit

Structure (CIF):
```
data_SrTl2FePd
_chemical_formula_sum 'Sr1 Tl2 Fe1 Pd1'
_cell_length_a 5.050
_cell_length_b 5.050
_cell_length_c 5.379
_cell_angle_alpha 90.00
_cell_angle_beta 90.00
_cell_angle_gamma 90.00
_space_group_name_H-M_alt 'P 4/m m m'
_space_group_IT_number 123
_space_group_name_Hall '-P 4 2'
loop_
_atom_site_label
_atom_site_fract_x
_atom_site_fract_y
_atom_site_fract_z
Sr1 0.000 0.000 0.000
Tl1 0.000 0.500 0.500
Fe1 0.000 0.000 0.500
Pd1 0.500 0.500 0.000
```

---

## SrZnFePd2 (GGA-PBE)

Data for crystalline SrZnFePd2 at its relaxed geometry.

Results
- Crystal system: tetragonal
- Total energy: -0.273 Ry/atom
- Total moment: 2.99 μB per formula unit

Structure (CIF):
```
data_SrZnFePd2
_chemical_formula_sum 'Sr1 Zn1 Fe1 Pd2'
_cell_length_a 4.715
_cell_length_b 4.715
_cell_length_c 5.405
_cell_angle_alpha 90.00
_cell_angle_beta 90.00
_cell_angle_gamma 90.00
_space_group_name_H-M_alt 'P 4/m m m'
_space_group_IT_number 123
_space_group_name_Hall '-P 4 2'
loop_
_atom_site_label
_atom_site_fract_x
_atom_site_fract_y
_atom_site_fract_z
Sr1 0.000 0.000 0.000
Zn1 0.000 0.000 0.500
Fe1 0.500 0.500 0.000
Pd1 0.000 0.500 0.500
```

---

## TaFe2Pd (GGA-PBE)

Data for crystalline TaFe2Pd at its relaxed geometry.

Results
- E above lowest polymorph: 0 meV/atom
- Crystal system: tetragonal
- Total energy: -0.634 Ry/atom
- Total moment: 2.81 μB per formula unit

Structure (CIF):
```
data_TaFe2Pd
_chemical_formula_sum 'Ta1 Fe2 Pd1'
_cell_length_a 3.850
_cell_length_b 3.850
_cell_length_c 3.704
_cell_angle_alpha 90.00
_cell_angle_beta 90.00
_cell_angle_gamma 90.00
_space_group_name_H-M_alt 'P 4/m m m'
_space_group_IT_number 123
_space_group_name_Hall '-P 4 2'
loop_
_atom_site_label
_atom_site_fract_x
_atom_site_fract_y
_atom_site_fract_z
Ta1 0.000 0.000 0.000
Fe1 0.000 0.500 0.500
Pd1 0.500 0.500 0.000
```

---

## TaFe2Pd8 (GGA-PBE)

Data for crystalline TaFe2Pd8 at its relaxed geometry.

Results
- Crystal system: monoclinic
- Total energy: -0.486 Ry/atom
- Total moment: 7.00 μB per formula unit

Structure (CIF):
```
data_TaFe2Pd8
_chemical_formula_sum 'Ta2 Fe4 Pd16'
_cell_length_a 14.016
_cell_length_b 3.958
_cell_length_c 6.222
_cell_angle_alpha 90.00
_cell_angle_beta 106.89
_cell_angle_gamma 90.00
_space_group_name_H-M_alt 'C 1 2/m 1'
_space_group_IT_number 12
loop_
_space_group_symop_operation_xyz
'x,y,z'
'-x,-y,-z'
'-x,y,-z'
'x,-y,z'
'x+1/2,y+1/2,z'
'-x+1/2,-y+1/2,-z'
'-x+1/2,y+1/2,-z'
'x+1/2,-y+1/2,z'
loop_
_atom_site_label
_atom_site_fract_x
_atom_site_fract_y
_atom_site_fract_z
Ta1 0.000 0.000 0.000
Fe1 0.223 0.500 0.642
Pd1 0.044 0.500 0.731
Pd2 0.100 0.000 0.454
Pd3 0.141 0.500 0.191
Pd4 0.181 0.000 0.917
```

---

## Ta2FePd8 (GGA-PBE)

Data for crystalline Ta2FePd8 at its relaxed geometry.

Results
- Crystal system: monoclinic
- Total energy: -0.499 Ry/atom
- Total moment: 3.43 μB per formula unit

Structure (CIF):
```
data_Ta2FePd8
_chemical_formula_sum 'Ta4 Fe2 Pd16'
_cell_length_a 6.998
_cell_length_b 12.435
_cell_length_c 4.627
_cell_angle_alpha 90.00
_cell_angle_beta 116.41
_cell_angle_gamma 90.00
_space_group_name_H-M_alt 'C 1 2/m 1'
_space_group_IT_number 12
loop_
_space_group_symop_operation_xyz
'x,y,z'
'-x,-y,-z'
'-x,y,-z'
'x,-y,z'
'x+1/2,y+1/2,z'
'-x+1/2,-y+1/2,-z'
'-x+1/2,y+1/2,-z'
'x+1/2,-y+1/2,z'
loop_
_atom_site_label
_atom_site_fract_x
_atom_site_fract_y
_atom_site_fract_z
Ta1 0.000 0.193 0.000
Fe1 0.000 0.500 0.500
Pd1 0.000 0.291 0.500
Pd2 0.112 0.000 0.310
Pd3 0.213 0.386 0.130
```

---

## Ta2Fe2Pd (GGA-PBE)

Data for crystalline Ta2Fe2Pd at its relaxed geometry.

Results
- E above lowest polymorph: 229 meV/atom
- Crystal system: tetragonal
- Total energy: -0.666 Ry/atom
- Total moment: 0.00 μB per formula unit

Structure (CIF):
```
data_Ta2Fe2Pd
_chemical_formula_sum 'Ta4 Fe4 Pd2'
_cell_length_a 7.224
_cell_length_b 7.224
_cell_length_c 2.893
_cell_angle_alpha 90.00
_cell_angle_beta 90.00
_cell_angle_gamma 90.00
_space_group_name_H-M_alt 'P 4/m b m'
_space_group_IT_number 127
_space_group_name_Hall '-P 4 2ab'
loop_
_atom_site_label
_atom_site_fract_x
_atom_site_fract_y
_atom_site_fract_z
Ta1 0.151 0.349 0.000
Fe1 0.142 0.642 0.500
Pd1 0.000 0.000 0.000
```

---

## TaFe2Pd (GGA-PBE)

Data for crystalline TaFe2Pd at its relaxed geometry.

Results
- E above lowest polymorph: 155 meV/atom
- Crystal system: cubic
- Total energy: -0.623 Ry/atom
- Total moment: 3.77 μB per formula unit

Structure (CIF):
```
data_TaFe2Pd
_chemical_formula_sum 'Ta4 Fe8 Pd4'
_cell_length_a 6.082
_cell_length_b 6.082
_cell_length_c 6.082
_cell_angle_alpha 90.00
_cell_angle_beta 90.00
_cell_angle_gamma 90.00
_space_group_name_H-M_alt 'F m -3 m'
_space_group_IT_number 225
_space_group_name_Hall '-F 4 2 3'
loop_
_atom_site_label
_atom_site_fract_x
_atom_site_fract_y
_atom_site_fract_z
Ta1 0.000 0.000 0.000
Fe1 0.250 0.250 0.250
Pd1 0.000 0.000 0.500
```

---

## TaFe4Pd (GGA-PBE)

Data for crystalline TaFe4Pd at its relaxed geometry.

Results
- Crystal system: cubic
- Total energy: -0.634 Ry/atom
- Total moment: 7.44 μB per formula unit

Structure (CIF):
```
data_TaFe4Pd
_chemical_formula_sum 'Ta4 Fe16 Pd4'
_cell_length_a 6.764
_cell_length_b 6.764
_cell_length_c 6.764
_cell_angle_alpha 90.00
_cell_angle_beta 90.00
_cell_angle_gamma 90.00
_space_group_name_H-M_alt 'F -4 3 m'
_space_group_IT_number 216
_space_group_name_Hall 'F -4 2 3'
loop_
_atom_site_label
_atom_site_fract_x
_atom_site_fract_y
_atom_site_fract_z
Ta1 0.000 0.000 0.000
Fe1 0.125 0.125 0.375
Pd1 0.250 0.250 0.750
```

---

## Ta2Fe2Pd (GGA-PBE)

Data for crystalline Ta2Fe2Pd at its relaxed geometry.

Results
- E above lowest polymorph: 0 meV/atom
- Crystal system: tetragonal
- Total energy: -0.683 Ry/atom
- Total moment: 0.00 μB per formula unit

Structure (CIF):
```
data_Ta2Fe2Pd
_chemical_formula_sum 'Ta4 Fe4 Pd2'
_cell_length_a 6.940
_cell_length_b 6.940
_cell_length_c 3.000
_cell_angle_alpha 90.00
_cell_angle_beta 90.00
_cell_angle_gamma 90.00
_space_group_name_H-M_alt 'P 4/m b m'
_space_group_IT_number 127
_space_group_name_Hall '-P 4 2ab'
loop_
_atom_site_label
_atom_site_fract_x
_atom_site_fract_y
_atom_site_fract_z
Ta1 0.165 0.335 0.000
Fe1 0.132 0.632 0.500
Pd1 0.000 0.000 0.500
```